Ce2NdThSe4 | PBE-GGA | relaxed

abc: 4.205 7.288 7.285
angles: 70.55 90.00 90.00
Positions (direct):
Th 0.000 0.500 0.500
Se 0.500 0.248 0.751
Se 0.000 0.248 0.251
Se 0.500 0.752 0.249
Se 0.000 0.752 0.749
Ce 0.500 0.000 0.500
Ce 0.000 0.000 0.000
Nd 0.500 0.500 0.000

Theoretical density = 7.67 g cm⁻³
SG = P2/m
ΔE_f (raw) = -14.1 eV/f.u.
N(E_F) = 13.262 states/eV/cell

=====

Tm3ScSb2 | PBE-GGA | relaxed

abc: 6.182 6.181 9.307
angles: 109.40 109.40 90.00
Positions (direct):
Sc 0.000 0.750 0.000
Sc 0.000 0.250 0.000
Sb 0.107 0.361 0.723
Sb 0.384 0.139 0.277
Sb 0.893 0.639 0.277
Sb 0.616 0.861 0.723
Tm 0.500 0.750 0.000
Tm 0.576 0.327 0.653
Tm 0.500 0.250 0.000
Tm 0.922 0.173 0.347
Tm 0.424 0.673 0.347
Tm 0.078 0.827 0.653

Theoretical density = 8.41 g cm⁻³
SG = Ibam
ΔE_f (raw) = -4.7 eV/f.u.
N(E_F) = 8.163 states/eV/cell

=====

Th2HgH | PBE-GGA | relaxed

abc: 3.562 3.562 8.602
angles: 78.05 78.05 60.00
Positions (direct):
Hg 0.500 0.500 0.500
H 0.000 0.000 0.000
Th 0.729 0.729 0.813
Th 0.271 0.271 0.187

Theoretical density = 12.04 g cm⁻³
SG = R-3m
N(E_F) = 4.386 states/eV/cell
Energy above the lowest structure with this stoichiometry = 37 meV per atom

=====

Ac2LaTbSm5 | PBE-GGA | relaxed

abc: 5.860 10.641 11.031
angles: 90.00 90.00 105.98
Positions (direct):
Tb 0.207 0.413 0.010
Tb 0.793 0.587 0.510
Ac 0.114 0.228 0.729
Ac 0.116 0.233 0.319
Ac 0.886 0.772 0.229
Ac 0.884 0.767 0.819
La 0.415 0.830 0.462
La 0.585 0.170 0.962
Sm 0.297 0.593 0.707
Sm 0.019 0.038 0.025
Sm 0.703 0.407 0.207
Sm 0.981 0.962 0.525
Sm 0.283 0.566 0.312
Sm 0.717 0.434 0.812
Sm 0.517 0.034 0.240
Sm 0.483 0.966 0.740
Sm 0.388 0.777 0.020
Sm 0.612 0.223 0.520

Theoretical density = 7.55 g cm⁻³
Energy of formation = 0.1437 eV/atom
SG = Cmc2_1
N(E_F) = 25.961 states/eV/cell

=====

PmNd2ErP4 | PBE-GGA | relaxed

abc: 4.113 7.117 7.117
angles: 109.46 90.00 90.00
Positions (direct):
Pm 0.000 0.000 0.000
P 0.500 0.747 0.755
P 0.000 0.743 0.241
P 0.500 0.253 0.245
P 0.000 0.257 0.759
Nd 0.500 0.000 0.500
Nd 0.000 0.500 0.500
Er 0.500 0.500 0.000

Theoretical density = 6.13 g cm⁻³
Energy of formation = -1.5526 eV/atom
SG = P2/m
N(E_F) = 0.644 states/eV/cell

=====

Pr6HPb3 | PBE-GGA | relaxed

abc: 5.939 10.123 10.123
angles: 105.40 90.00 90.00
Positions (direct):
H 0.123 0.119 0.881
H 0.623 0.881 0.119
Pr 0.873 0.000 0.000
Pr 0.373 0.000 0.000
Pr 0.124 0.412 0.276
Pr 0.123 0.753 0.247
Pr 0.624 0.938 0.364
Pr 0.624 0.636 0.062
Pr 0.124 0.724 0.588
Pr 0.124 0.062 0.636
Pr 0.124 0.364 0.938
Pr 0.624 0.588 0.724
Pr 0.623 0.247 0.753
Pr 0.624 0.276 0.412
Pb 0.624 0.314 0.092
Pb 0.124 0.092 0.314
Pb 0.124 0.686 0.908
Pb 0.624 0.908 0.686
Pb 0.124 0.388 0.612
Pb 0.624 0.612 0.388

Theoretical density = 8.31 g cm⁻³
SG = Cmc2_1
E = -4.68 eV per atom
N(E_F) = 19.984 states/eV/cell

=====

NbInAu2 | PBE-GGA | relaxed

abc: 4.166 4.265 4.265
angles: 90.00 90.00 90.00
Positions (direct):
Nb 0.500 0.500 0.500
In 0.500 0.000 0.000
Au 0.000 0.500 0.000
Au 0.000 0.000 0.500

Theoretical density = 13.19 g cm⁻³
Energy of formation = -0.0138 eV/atom
SG = P4/mmm
N(E_F) = 3.678 states/eV/cell

=====

KBa3Tc2O9 | PBE-GGA | relaxed

abc: 5.862 5.862 8.049
angles: 90.00 90.00 120.00
Positions (direct):
O 0.643 0.821 0.277
O 0.821 0.179 0.723
O 0.000 0.500 0.000
O 0.500 0.500 0.000
O 0.179 0.357 0.277
O 0.821 0.643 0.723
O 0.179 0.821 0.277
O 0.357 0.179 0.723
O 0.500 0.000 0.000
Ba 0.000 0.000 0.000
Ba 0.667 0.333 0.284
Ba 0.333 0.667 0.716
Tc 0.667 0.333 0.848
Tc 0.333 0.667 0.152
K 0.000 0.000 0.500

Theoretical density = 5.48 g cm⁻³
SG = P-3m1
ΔE_f (raw) = -30.5 eV/f.u.
N(E_F) = 7.415 states/eV/cell

=====

Among the records above, which one has the lowest N(E_F)?
PmNd2ErP4

=====

Repeat the first record exactly.
Ce2NdThSe4 | PBE-GGA | relaxed

abc: 4.205 7.288 7.285
angles: 70.55 90.00 90.00
Positions (direct):
Th 0.000 0.500 0.500
Se 0.500 0.248 0.751
Se 0.000 0.248 0.251
Se 0.500 0.752 0.249
Se 0.000 0.752 0.749
Ce 0.500 0.000 0.500
Ce 0.000 0.000 0.000
Nd 0.500 0.500 0.000

Theoretical density = 7.67 g cm⁻³
SG = P2/m
ΔE_f (raw) = -14.1 eV/f.u.
N(E_F) = 13.262 states/eV/cell